## TbTmTe (GGA-PBE)

Data for a relaxed TbTmTe crystal.

- Space group: F-43m, No. 216

a = 5.036 Å, b = 5.036 Å, c = 5.036 Å
α = 60.00°, β = 60.00°, γ = 60.00°
Fractional coordinates of all 3 atoms:
1 Tb 0.250 0.250 0.250
2 Te 0.000 0.000 0.000
3 Tm 0.750 0.750 0.750

## TbUTe (GGA-PBE)

Data for a relaxed TbUTe crystal.

- Space group: F-43m, No. 216

a = 5.099 Å, b = 5.099 Å, c = 5.099 Å
α = 60.00°, β = 60.00°, γ = 60.00°
Fractional coordinates of all 3 atoms:
1 Tb 0.250 0.250 0.250
2 Te 0.000 0.000 0.000
3 U 0.750 0.750 0.750

no.,energy (eV per atom)
1,-4.51
2,-6.26